# CaAgMoPd

An optimized crystal structure of CaAgMoPd (PBE, Alexandria via LeMat-Bulk).

a = 4.581 Å, b = 4.581 Å, c = 14.371 Å
α = 90.00°, β = 90.00°, γ = 120.00°
Last column: magnetic moment on the atom in μB.
Element x y z (fractional)
Mo 0.333 0.667 0.641  1.89
Ag 0.333 0.667 0.909  0.04
Mo 0.000 0.000 0.975  1.89
Mo 0.667 0.333 0.308  1.89
Pd 0.333 0.667 0.328  0.12
Ag 0.667 0.333 0.576  0.04
Ca 0.000 0.000 0.458  0.01
Pd 0.667 0.333 0.995  0.12
Pd 0.000 0.000 0.661  0.12
Ag 0.000 0.000 0.243  0.04
Ca 0.333 0.667 0.124  0.01
Ca 0.667 0.333 0.791  0.01

## Properties
total moment = 7.22 Bohr magnetons per cell
distance to the lowest polymorph of the same formula = 0.40 eV/f.u.
DOS at the Fermi energy = 3.63 states/eV/f.u.
ΔH_f (0 K) = 0.2545 eV/atom